No. 1
VASP calculation (PBE) on a geometry-optimized ErMn6Ga6 structure.

Output
**Energy relative to the elements**: -266 kJ/mol of formula units
**Energy relative to the lowest polymorph listed for this composition**: 0.0 meV per atom

Cell lengths 5.1767, 6.6028, 6.6028 Å; angles 81.23, 66.92, 66.92 degrees
Site moments in Bohr magnetons follow the coordinates.
Fractional positions:
1 Er 0.0000 0.0000 0.0000  -0.07
2 Mn 0.0000 0.5000 0.0000  2.10
3 Mn 0.5000 0.5000 0.0000  2.10
4 Mn 0.0000 0.0000 0.5000  2.10
5 Mn 0.5000 0.0000 0.5000  2.10
6 Mn 0.5000 0.7568 0.2432  -2.22
7 Mn 0.5000 0.2432 0.7568  -2.22
8 Ga 0.3420 0.6580 0.6580  -0.01
9 Ga 0.6580 0.3420 0.3420  -0.01
10 Ga 0.0000 0.3331 0.6669  -0.02
11 Ga 0.0000 0.6669 0.3331  -0.02
12 Ga 0.3100 0.1900 0.1900  -0.04
13 Ga 0.6900 0.8100 0.8100  -0.04

=====

No. 2
VASP calculation (PBE) on a geometry-optimized Pm6Er5Sc2 structure.

Output
**Energy relative to the elements**: 81 kJ/mol of formula units

Cell lengths 3.5661, 11.4071, 20.2604 Å; angles 90.00, 90.00, 90.00 degrees
Fractional positions:
1 Pm 0.0000 0.1679 0.3822
2 Pm 0.0000 0.8321 0.6178
3 Pm 0.0000 0.6679 0.1178
4 Pm 0.0000 0.3321 0.8822
5 Pm 0.5000 0.4187 0.1556
6 Pm 0.5000 0.5813 0.8444
7 Pm 0.5000 0.9187 0.3444
8 Pm 0.5000 0.0813 0.6556
9 Pm 0.0000 0.7152 0.4458
10 Pm 0.0000 0.2848 0.5542
11 Pm 0.0000 0.2152 0.0542
12 Pm 0.0000 0.7848 0.9458
13 Er 0.5000 0.4427 0.4212
14 Er 0.5000 0.5573 0.5788
15 Er 0.5000 0.9427 0.0788
16 Er 0.5000 0.0573 0.9212
17 Er 0.5000 0.6445 0.2793
18 Er 0.5000 0.3555 0.7207
19 Er 0.5000 0.1445 0.2207
20 Er 0.5000 0.8555 0.7793
21 Er 0.5000 0.5000 0.0000
22 Er 0.5000 0.0000 0.5000
23 Sc 0.0000 0.3865 0.2878
24 Sc 0.0000 0.6135 0.7122
25 Sc 0.0000 0.8865 0.2122
26 Sc 0.0000 0.1135 0.7878

=====

No. 3
VASP calculation (PBE) on a geometry-optimized InPCl structure.

Output
**Formation energy (no corrections)**: -0.250 eV per formula unit
**Energy relative to the lowest polymorph listed for this composition**: 192.1 meV per atom

Cell lengths 6.0025, 6.0035, 6.0035 Å; angles 141.60, 141.60, 55.43 degrees
Fractional positions:
1 Cl 0.9767 0.9766 0.0000
2 In 0.2556 0.2556 0.0001
3 P 0.7677 0.7678 0.9999

=====

Record-wise size of the total moment values, in μB/f.u.: 3.86 0.00 0.00